(1)
Sr3Y2B4O12 at its PBEsol-relaxed geometry. Source: the Alexandria database, functional SCAN.

Its size of the total moment is 0.000 μB per atom. The value obtained for the formation energy from raw total energies is -3236 meV per atom. Its space group is No. 62.

abc: 7.3833 15.6112 8.6453
angles: 90.00 90.00 90.00
Last column: nearest neighbours and their distance in Å.
Fractional positions:
1 Sr 0.1737 0.2500 0.0288  8 O 2.42-2.63
2 Sr 0.1752 0.6248 0.1567  6 O 2.40-2.67
3 Sr 0.1752 0.8752 0.1567  6 O 2.40-2.67
4 Sr 0.3248 0.1248 0.6567  6 O 2.40-2.67
5 Sr 0.3248 0.3752 0.6567  6 O 2.40-2.67
6 Sr 0.3263 0.7500 0.5288  8 O 2.42-2.63
7 Sr 0.6737 0.2500 0.4712  8 O 2.42-2.63
8 Sr 0.6752 0.6248 0.3433  6 O 2.40-2.67
9 Sr 0.6752 0.8752 0.3433  6 O 2.40-2.67
10 Sr 0.8248 0.1248 0.8433  6 O 2.40-2.67
11 Sr 0.8248 0.3752 0.8433  6 O 2.40-2.67
12 Sr 0.8263 0.7500 0.9712  8 O 2.42-2.63
13 Y 0.0117 0.5826 0.6714  7 O 2.24-2.47
14 Y 0.0117 0.9174 0.6714  7 O 2.24-2.47
15 Y 0.4883 0.0826 0.1714  7 O 2.24-2.47
16 Y 0.4883 0.4174 0.1714  7 O 2.24-2.47
17 Y 0.5117 0.5826 0.8286  7 O 2.24-2.47
18 Y 0.5117 0.9174 0.8286  7 O 2.24-2.47
19 Y 0.9883 0.0826 0.3286  7 O 2.24-2.47
20 Y 0.9883 0.4174 0.3286  7 O 2.24-2.47
21 B 0.0213 0.2500 0.6057  3 O 1.39-1.40
22 B 0.1630 0.0380 0.9467  3 O 1.38-1.39
23 B 0.1630 0.4620 0.9467  3 O 1.38-1.39
24 B 0.2224 0.7500 0.8527  3 O 1.35-1.40
25 B 0.2776 0.2500 0.3527  3 O 1.35-1.40
26 B 0.3370 0.5380 0.4467  3 O 1.38-1.39
27 B 0.3370 0.9620 0.4467  3 O 1.38-1.39
28 B 0.4787 0.7500 0.1057  3 O 1.39-1.40
29 B 0.5213 0.2500 0.8943  3 O 1.39-1.40
30 B 0.6630 0.0380 0.5533  3 O 1.38-1.39
31 B 0.6630 0.4620 0.5533  3 O 1.38-1.39
32 B 0.7224 0.7500 0.6473  3 O 1.35-1.40
33 B 0.7776 0.2500 0.1473  3 O 1.35-1.40
34 B 0.8370 0.5380 0.0533  3 O 1.38-1.39
35 B 0.8370 0.9620 0.0533  3 O 1.38-1.39
36 B 0.9787 0.7500 0.3943  3 O 1.39-1.40
37 O 0.0313 0.6727 0.4618  1 B 1.40
38 O 0.0313 0.8273 0.4618  1 B 1.40
39 O 0.0747 0.0886 0.0529  1 B 1.38
40 O 0.0747 0.4114 0.0529  1 B 1.38
41 O 0.1037 0.2500 0.7496  1 B 1.39
42 O 0.1045 0.0358 0.7936  1 B 1.39
43 O 0.1045 0.4642 0.7936  1 B 1.39
44 O 0.1529 0.7500 0.9966  1 B 1.35
45 O 0.1797 0.0058 0.4847  1 B 1.39
46 O 0.1797 0.4942 0.4847  1 B 1.39
47 O 0.2465 0.1722 0.2761  1 B 1.40
48 O 0.2465 0.3278 0.2761  1 B 1.40
49 O 0.2535 0.6722 0.7761  1 B 1.40
50 O 0.2535 0.8278 0.7761  1 B 1.40
51 O 0.3203 0.5058 0.9847  1 B 1.39
52 O 0.3203 0.9942 0.9847  1 B 1.39
53 O 0.3471 0.2500 0.4966  1 B 1.35
54 O 0.3955 0.5358 0.2936  1 B 1.39
55 O 0.3955 0.9642 0.2936  1 B 1.39
56 O 0.3963 0.7500 0.2496  1 B 1.39
57 O 0.4253 0.5886 0.5529  1 B 1.38
58 O 0.4253 0.9114 0.5529  1 B 1.38
59 O 0.4687 0.1727 0.9618  1 B 1.40
60 O 0.4687 0.3273 0.9618  1 B 1.40
61 O 0.5313 0.6727 0.0382  1 B 1.40
62 O 0.5313 0.8273 0.0382  1 B 1.40
63 O 0.5747 0.0886 0.4471  1 B 1.38
64 O 0.5747 0.4114 0.4471  1 B 1.38
65 O 0.6037 0.2500 0.7504  1 B 1.39
66 O 0.6045 0.0358 0.7064  1 B 1.39
67 O 0.6045 0.4642 0.7064  1 B 1.39
68 O 0.6529 0.7500 0.5034  1 B 1.35
69 O 0.6797 0.0058 0.0153  1 B 1.39
70 O 0.6797 0.4942 0.0153  1 B 1.39
71 O 0.7465 0.1722 0.2239  1 B 1.40
72 O 0.7465 0.3278 0.2239  1 B 1.40
73 O 0.7535 0.6722 0.7239  1 B 1.40
74 O 0.7535 0.8278 0.7239  1 B 1.40
75 O 0.8203 0.5058 0.5153  1 B 1.39
76 O 0.8203 0.9942 0.5153  1 B 1.39
77 O 0.8471 0.2500 0.0034  1 B 1.35
78 O 0.8955 0.5358 0.2064  1 B 1.39
79 O 0.8955 0.9642 0.2064  1 B 1.39
80 O 0.8963 0.7500 0.2504  1 B 1.39
81 O 0.9253 0.5886 0.9471  1 B 1.38
82 O 0.9253 0.9114 0.9471  1 B 1.38
83 O 0.9687 0.1727 0.5382  1 B 1.40
84 O 0.9687 0.3273 0.5382  1 B 1.40



(2)
TbZnB5O10 at its PBEsol-relaxed geometry. Source: the Alexandria database, functional SCAN.

Its size of the total moment is 0.000 μB per atom. The value obtained for the formation energy from raw total energies is -2762 meV per atom. Its space group is No. 14.

abc: 8.5387 7.5978 12.2443
angles: 90.00 130.32 90.00
Last column: nearest neighbours and their distance in Å.
Fractional positions:
1 Tb 0.0560 0.1816 0.2397  6 O 2.25-2.47
2 Tb 0.0560 0.3184 0.7397  6 O 2.25-2.47
3 Tb 0.9440 0.6816 0.2603  6 O 2.25-2.47
4 Tb 0.9440 0.8184 0.7603  6 O 2.25-2.47
5 Zn 0.4788 0.5899 0.8722  5 O 2.03-2.14
6 Zn 0.4788 0.9101 0.3722  5 O 2.03-2.14
7 Zn 0.5212 0.0899 0.6278  5 O 2.03-2.14
8 Zn 0.5212 0.4101 0.1278  5 O 2.03-2.14
9 B 0.0849 0.6748 0.6043  4 O 1.46-1.50
10 B 0.0849 0.8252 0.1043  4 O 1.46-1.50
11 B 0.1512 0.6035 0.9910  3 O 1.34-1.39
12 B 0.1512 0.8965 0.4910  3 O 1.34-1.39
13 B 0.2798 0.0309 0.0565  4 O 1.46-1.51
14 B 0.2798 0.4691 0.5565  4 O 1.46-1.51
15 B 0.3361 0.5736 0.2549  4 O 1.46-1.49
16 B 0.3361 0.9264 0.7549  4 O 1.46-1.49
17 B 0.4766 0.1888 0.9126  3 O 1.36-1.38
18 B 0.4766 0.3112 0.4126  3 O 1.36-1.38
19 B 0.5234 0.6888 0.5874  3 O 1.36-1.38
20 B 0.5234 0.8112 0.0874  3 O 1.36-1.38
21 B 0.6639 0.0736 0.2451  4 O 1.46-1.49
22 B 0.6639 0.4264 0.7451  4 O 1.46-1.49
23 B 0.7202 0.5309 0.4435  4 O 1.46-1.51
24 B 0.7202 0.9691 0.9435  4 O 1.46-1.51
25 B 0.8488 0.1035 0.5090  3 O 1.34-1.39
26 B 0.8488 0.3965 0.0090  3 O 1.34-1.39
27 B 0.9151 0.1748 0.8957  4 O 1.46-1.50
28 B 0.9151 0.3252 0.3957  4 O 1.46-1.50
29 O 0.0237 0.7329 0.9773  2 B 1.39-1.46
30 O 0.0237 0.7671 0.4773  2 B 1.39-1.46
31 O 0.0962 0.1065 0.9195  2 B 1.47-1.48
32 O 0.0962 0.3935 0.4195  2 B 1.47-1.48
33 O 0.1151 0.5563 0.8707  1 B 1.34
34 O 0.1151 0.9437 0.3707  1 B 1.34
35 O 0.1862 0.7028 0.2261  2 B 1.46-1.47
36 O 0.1862 0.7972 0.7261  2 B 1.46-1.47
37 O 0.2352 0.5294 0.6511  2 B 1.50-1.51
38 O 0.2352 0.9706 0.1511  2 B 1.50-1.51
39 O 0.3061 0.5326 0.1230  2 B 1.37-1.49
40 O 0.3061 0.9674 0.6230  2 B 1.37-1.49
41 O 0.3107 0.0933 0.8016  2 B 1.37-1.46
42 O 0.3107 0.4067 0.3016  2 B 1.37-1.46
43 O 0.3277 0.6270 0.5093  2 B 1.36-1.50
44 O 0.3277 0.8730 0.0093  2 B 1.36-1.50
45 O 0.4208 0.1503 0.4301  1 B 1.38
46 O 0.4208 0.3497 0.9301  1 B 1.38
47 O 0.4577 0.1482 0.1378  2 B 1.46-1.47
48 O 0.4577 0.3518 0.6378  2 B 1.46-1.47
49 O 0.5423 0.6482 0.3622  2 B 1.46-1.47
50 O 0.5423 0.8518 0.8622  2 B 1.46-1.47
51 O 0.5792 0.6503 0.0699  1 B 1.38
52 O 0.5792 0.8497 0.5699  1 B 1.38
53 O 0.6723 0.1270 0.9907  2 B 1.36-1.50
54 O 0.6723 0.3730 0.4907  2 B 1.36-1.50
55 O 0.6893 0.5933 0.6984  2 B 1.37-1.46
56 O 0.6893 0.9067 0.1984  2 B 1.37-1.46
57 O 0.6939 0.0326 0.3770  2 B 1.37-1.49
58 O 0.6939 0.4674 0.8770  2 B 1.37-1.49
59 O 0.7648 0.0294 0.8489  2 B 1.50-1.51
60 O 0.7648 0.4706 0.3489  2 B 1.50-1.51
61 O 0.8138 0.2028 0.2739  2 B 1.46-1.47
62 O 0.8138 0.2972 0.7739  2 B 1.46-1.47
63 O 0.8849 0.0563 0.6293  1 B 1.34
64 O 0.8849 0.4437 0.1293  1 B 1.34
65 O 0.9038 0.6065 0.5805  2 B 1.47-1.48
66 O 0.9038 0.8935 0.0805  2 B 1.47-1.48
67 O 0.9763 0.2329 0.5227  2 B 1.39-1.46
68 O 0.9763 0.2671 0.0227  2 B 1.39-1.46



(3)
B2TeO5 at its PBEsol-relaxed geometry. Source: the Alexandria database, functional SCAN.

Its size of the total moment is 0.000 μB per atom. The value obtained for the formation energy from raw total energies is -1948 meV per atom. Its space group is No. 15.

abc: 7.3037 7.3037 8.4971
angles: 101.97 101.97 83.89
Last column: nearest neighbours and their distance in Å.
Fractional positions:
1 B 0.0853 0.6586 0.8376  3 O 1.37-1.41
2 B 0.2251 0.4011 0.9666  3 O 1.36-1.38
3 B 0.3414 0.9147 0.6624  3 O 1.37-1.41
4 B 0.4011 0.2251 0.4666  3 O 1.36-1.38
5 B 0.5989 0.7749 0.5334  3 O 1.36-1.38
6 B 0.6586 0.0853 0.3376  3 O 1.37-1.41
7 B 0.7749 0.5989 0.0334  3 O 1.36-1.38
8 B 0.9147 0.3414 0.1624  3 O 1.37-1.41
9 Te 0.0799 0.2672 0.6087  4 O 1.95-2.10
10 Te 0.2672 0.0799 0.1087  4 O 1.95-2.10
11 Te 0.7328 0.9201 0.8913  4 O 1.95-2.10
12 Te 0.9201 0.7328 0.3913  4 O 1.95-2.10
13 O 0.0077 0.8332 0.8923  1 B 1.37
14 O 0.0398 0.5589 0.6816  1 B 1.37
15 O 0.1336 0.2676 0.8436  1 B 1.38
16 O 0.1668 0.9923 0.6077  1 B 1.37
17 O 0.2175 0.5857 0.9591  2 B 1.36-1.41
18 O 0.2676 0.1336 0.3436  1 B 1.38
19 O 0.3138 0.3385 0.1077  1 B 1.38
20 O 0.3385 0.3138 0.6077  1 B 1.38
21 O 0.4143 0.7825 0.5409  2 B 1.36-1.41
22 O 0.4411 0.9602 0.8184  1 B 1.37
23 O 0.5589 0.0398 0.1816  1 B 1.37
24 O 0.5857 0.2175 0.4591  2 B 1.36-1.41
25 O 0.6615 0.6862 0.3923  1 B 1.38
26 O 0.6862 0.6615 0.8923  1 B 1.38
27 O 0.7324 0.8664 0.6564  1 B 1.38
28 O 0.7825 0.4143 0.0409  2 B 1.36-1.41
29 O 0.8332 0.0077 0.3923  1 B 1.37
30 O 0.8664 0.7324 0.1564  1 B 1.38
31 O 0.9602 0.4411 0.3184  1 B 1.37
32 O 0.9923 0.1668 0.1077  1 B 1.37



(4)
B2TeO6 at its PBEsol-relaxed geometry. Source: the Alexandria database, functional SCAN.

Its size of the total moment is 0.000 μB per atom. The value obtained for the formation energy from raw total energies is -1736 meV per atom. Its space group is No. 14.

abc: 5.2110 8.7820 11.1543
angles: 90.00 101.10 90.00
Last column: nearest neighbours and their distance in Å.
Fractional positions:
1 B 0.0014 0.2255 0.1186  3 O 1.36-1.40
2 B 0.0014 0.2745 0.6186  3 O 1.36-1.40
3 B 0.4492 0.6268 0.1350  3 O 1.37-1.38
4 B 0.4492 0.8732 0.6350  3 O 1.37-1.38
5 B 0.5508 0.1268 0.3650  3 O 1.37-1.38
6 B 0.5508 0.3732 0.8650  3 O 1.37-1.38
7 B 0.9986 0.7255 0.3814  3 O 1.36-1.40
8 B 0.9986 0.7745 0.8814  3 O 1.36-1.40
9 Te 0.4348 0.7042 0.8646  6 O 1.92-1.97
10 Te 0.4348 0.7958 0.3646  6 O 1.92-1.97
11 Te 0.5652 0.2042 0.6354  6 O 1.92-1.97
12 Te 0.5652 0.2958 0.1354  6 O 1.92-1.97
13 O 0.0773 0.6268 0.8579  1 B 1.40
14 O 0.0773 0.8732 0.3579  1 B 1.40
15 O 0.2142 0.6270 0.4012  1 B 1.40
16 O 0.2142 0.8730 0.9012  1 B 1.40
17 O 0.2497 0.1767 0.1185  1 B 1.36
18 O 0.2497 0.3233 0.6185  1 B 1.36
19 O 0.3644 0.7490 0.6916  1 B 1.37
20 O 0.3644 0.7510 0.1916  1 B 1.37
21 O 0.4372 0.0150 0.6866  1 B 1.38
22 O 0.4372 0.4850 0.1866  1 B 1.38
23 O 0.4451 0.1482 0.4674  1 B 1.37
24 O 0.4451 0.3518 0.9674  1 B 1.37
25 O 0.5549 0.6482 0.0326  1 B 1.37
26 O 0.5549 0.8518 0.5326  1 B 1.37
27 O 0.5628 0.5150 0.8134  1 B 1.38
28 O 0.5628 0.9850 0.3134  1 B 1.38
29 O 0.6356 0.2490 0.8084  1 B 1.37
30 O 0.6356 0.2510 0.3084  1 B 1.37
31 O 0.7503 0.6767 0.3815  1 B 1.36
32 O 0.7503 0.8233 0.8815  1 B 1.36
33 O 0.7858 0.1270 0.0988  1 B 1.40
34 O 0.7858 0.3730 0.5988  1 B 1.40
35 O 0.9227 0.1268 0.6421  1 B 1.40
36 O 0.9227 0.3732 0.1421  1 B 1.40



(5)
BTeO2 at its PBEsol-relaxed geometry. Source: the Alexandria database, functional SCAN.

Its size of the total moment is 0.000 μB per atom. The value obtained for the formation energy from raw total energies is 903 meV per atom. Its space group is No. 225.

abc: 3.9518 3.9518 3.9518
angles: 60.00 60.00 60.00
Last column: nearest neighbours and their distance in Å.
Fractional positions:
1 B 0.0000 0.0000 0.0000  8 O 2.42
2 Te 0.5000 0.5000 0.5000  8 O 2.42
3 O 0.2500 0.2500 0.2500  4 Te 2.42, 4 B 2.42
4 O 0.7500 0.7500 0.7500  4 Te 2.42, 4 B 2.42



(6)
ThB2O5 at its PBEsol-relaxed geometry. Source: the Alexandria database, functional SCAN.

Its size of the total moment is 0.000 μB per atom. The value obtained for the formation energy from raw total energies is -3191 meV per atom. Its space group is No. 15.

abc: 6.7621 6.7621 10.5195
angles: 99.97 99.97 62.39
Last column: nearest neighbours and their distance in Å.
Fractional positions:
1 Th 0.0217 0.6122 0.6920  7 O 2.35-2.62
2 Th 0.3878 0.9783 0.8080  7 O 2.35-2.62
3 Th 0.6122 0.0217 0.1920  7 O 2.35-2.62
4 Th 0.9783 0.3878 0.3080  7 O 2.35-2.62
5 B 0.1641 0.5656 0.1416  3 O 1.37-1.38
6 B 0.2309 0.7219 0.5034  3 O 1.37-1.38
7 B 0.2781 0.7691 0.9966  3 O 1.37-1.38
8 B 0.4344 0.8359 0.3584  3 O 1.37-1.38
9 B 0.5656 0.1641 0.6416  3 O 1.37-1.38
10 B 0.7219 0.2309 0.0034  3 O 1.37-1.38
11 B 0.7691 0.2781 0.4966  3 O 1.37-1.38
12 B 0.8359 0.4344 0.8584  3 O 1.37-1.38
13 O 0.0576 0.3126 0.8365  1 B 1.37
14 O 0.1074 0.6022 0.4707  1 B 1.38
15 O 0.1758 0.7749 0.8713  1 B 1.38
16 O 0.2251 0.8242 0.6287  1 B 1.38
17 O 0.2751 0.3585 0.1887  1 B 1.38
18 O 0.2801 0.6400 0.0842  2 B 1.37
19 O 0.3126 0.0576 0.3365  1 B 1.37
20 O 0.3585 0.2751 0.6887  1 B 1.38
21 O 0.3600 0.7199 0.4158  2 B 1.37
22 O 0.3978 0.8926 0.0293  1 B 1.38
23 O 0.6022 0.1074 0.9707  1 B 1.38
24 O 0.6400 0.2801 0.5842  2 B 1.37
25 O 0.6415 0.7249 0.3113  1 B 1.38
26 O 0.6874 0.9424 0.6635  1 B 1.37
27 O 0.7199 0.3600 0.9158  2 B 1.37
28 O 0.7249 0.6415 0.8113  1 B 1.38
29 O 0.7749 0.1758 0.3713  1 B 1.38
30 O 0.8242 0.2251 0.1287  1 B 1.38
31 O 0.8926 0.3978 0.5293  1 B 1.38
32 O 0.9424 0.6874 0.1635  1 B 1.37



(7)
TiBO3 at its PBEsol-relaxed geometry. Source: the Alexandria database, functional SCAN.

Its size of the total moment is 0.200 μB per atom. The value obtained for the formation energy from raw total energies is -2862 meV per atom. Its space group is No. 167.

abc: 5.5991 5.5991 5.5991
angles: 49.23 49.23 49.23
Last column: nearest neighbours and their distance in Å.
Fractional positions:
1 Ti 0.0000 0.0000 0.0000  6 O 2.05
2 Ti 0.5000 0.5000 0.5000  6 O 2.05
3 B 0.2500 0.2500 0.2500  3 O 1.39
4 B 0.7500 0.7500 0.7500  3 O 1.39
5 O 0.0470 0.7500 0.4530  1 B 1.39
6 O 0.2500 0.5470 0.9530  1 B 1.39
7 O 0.4530 0.0470 0.7500  1 B 1.39
8 O 0.5470 0.9530 0.2500  1 B 1.39
9 O 0.7500 0.4530 0.0470  1 B 1.39
10 O 0.9530 0.2500 0.5470  1 B 1.39



(8)
Ti2BO at its PBEsol-relaxed geometry. Source: the Alexandria database, functional SCAN.

Its size of the total moment is 0.000 μB per atom. The value obtained for the formation energy from raw total energies is -749 meV per atom. Its space group is No. 225.

abc: 3.8644 3.8644 3.8644
angles: 60.00 60.00 60.00
Last column: nearest neighbours and their distance in Å.
Fractional positions:
1 Ti 0.2500 0.2500 0.2500  4 O 2.37, 4 B 2.37
2 Ti 0.7500 0.7500 0.7500  4 O 2.37, 4 B 2.37
3 B 0.0000 0.0000 0.0000  8 Ti 2.37
4 O 0.5000 0.5000 0.5000  8 Ti 2.37



E_tot per entry: -14.05 -12.16 -12.36 -11.68 -13.38 -20.93 -11.29 -12.18 eV per atom